No. 1
First-principles (PBE) data for In2ReIr after structural relaxation, as listed in Alexandria via LeMat-Bulk.

Results
The calculation puts the density of states at the Fermi level at 3.65 states/eV/f.u. Its space-group type is R-3m (166). For the energy, the calculation gives -25.06 eV for the cell shown. The value obtained for the calculated volume is 17.59 A^3/atom.

abc: 9.1206 9.1206 9.1206
angles: 19.01 19.01 19.01
Closest atoms and distances in Å follow each position.
Atoms (fractional coordinates):
In 0.2480 0.2480 0.2480  3 Ir 2.79, 3 Re 2.88, 6 In 3.01
In 0.7520 0.7520 0.7520  3 Ir 2.79, 3 Re 2.88, 6 In 3.01
Re 0.0000 0.0000 0.0000  6 In 2.88, 6 Re 3.01
Ir 0.5000 0.5000 0.5000  6 In 2.79, 6 Ir 3.01

=====

No. 2
First-principles (PBE) data for Ti6Ga12Cu after structural relaxation, as listed in Alexandria via LeMat-Bulk.

Results
The calculation puts the density of states at the Fermi level at 11.08 states/eV/f.u. Its space-group type is R-3 (148). For the energy, the calculation gives -93.52 eV for the cell shown. The value obtained for the calculated volume is 16.30 A^3/atom.

abc: 6.8033 6.8033 6.8033
angles: 95.84 95.84 95.84
Closest atoms and distances in Å follow each position.
Atoms (fractional coordinates):
Ti 0.2008 0.3496 0.7579  8 Ga 2.67-2.99
Ti 0.2421 0.7992 0.6504  8 Ga 2.67-2.99
Ti 0.3496 0.7579 0.2008  8 Ga 2.67-2.99
Ti 0.6504 0.2421 0.7992  8 Ga 2.67-2.99
Ti 0.7579 0.2008 0.3496  8 Ga 2.67-2.99
Ti 0.7992 0.6504 0.2421  8 Ga 2.67-2.99
Ga 0.0179 0.6947 0.9422  1 Ga 2.50, 3 Ti 2.67-2.73
Ga 0.0578 0.9821 0.3053  1 Ga 2.50, 3 Ti 2.67-2.73
Ga 0.1368 0.4722 0.3899  1 Cu 2.49, 2 Ga 2.50-2.54, 2 Ti 2.69-2.73
Ga 0.3053 0.0578 0.9821  1 Ga 2.50, 3 Ti 2.67-2.73
Ga 0.3899 0.1368 0.4722  1 Cu 2.49, 2 Ga 2.50-2.54, 2 Ti 2.69-2.73
Ga 0.4722 0.3899 0.1368  1 Cu 2.49, 2 Ga 2.50-2.54, 2 Ti 2.69-2.73
Ga 0.5278 0.6101 0.8632  1 Cu 2.49, 2 Ga 2.50-2.54, 2 Ti 2.69-2.73
Ga 0.6101 0.8632 0.5278  1 Cu 2.49, 2 Ga 2.50-2.54, 2 Ti 2.69-2.73
Ga 0.6947 0.9422 0.0179  1 Ga 2.50, 3 Ti 2.67-2.73
Ga 0.8632 0.5278 0.6101  1 Cu 2.49, 2 Ga 2.50-2.54, 2 Ti 2.69-2.73
Ga 0.9422 0.0179 0.6947  1 Ga 2.50, 3 Ti 2.67-2.73
Ga 0.9821 0.3053 0.0578  1 Ga 2.50, 3 Ti 2.67-2.73
Cu 0.5000 0.5000 0.5000  6 Ga 2.49